Record 1
A relaxed structure of Y6Er2Al, computed with GGA-PBE.

abc: 9.9695 10.2169 5.3513
angles: 90.00 90.00 90.00
Space group Pnnm (No. 58)
Asymmetric unit:
Y 0.0292 0.1866 0.0000 x4
Y 0.1287 0.6134 0.5000 x4
Y 0.1856 0.9446 0.5000 x4
Er 0.2034 0.2711 0.5000 x4
Al 0.0000 0.5000 0.0000 x2

Calculated values
- DOS(E_F): 1.56 states/eV per atom
- ΔE_f: -0.02 eV per atom



Record 2
A relaxed structure of CdPd2F11, computed with GGA-PBE.

abc: 8.8763 8.8763 10.2507
angles: 90.00 90.00 90.00
Space group I4/mcm (No. 140)
Asymmetric unit:
Cd 0.0000 0.0000 0.2500 x4
Pd 0.1636 0.3364 0.0000 x8
F 0.0000 0.5000 0.0000 x4
F 0.0558 0.2252 0.1336 x32
F 0.1883 0.3117 0.5000 x8

Calculated values
- Electronic total energy: -3.572 eV/atom
- DOS(E_F): 1.14 states/eV per atom



Record 3
A relaxed structure of La2TbY3Er6, computed with GGA-PBE.

abc: 6.1883 10.7142 11.7904
angles: 90.00 100.05 90.00
Space group C2/m (No. 12)
Asymmetric unit:
La 0.0000 0.1665 0.0000 x4
Tb 0.0000 0.5000 0.0000 x2
Y 0.0000 0.0000 0.5000 x2
Y 0.0000 0.3336 0.5000 x4
Er 0.2471 0.5000 0.7466 x4
Er 0.2489 0.1661 0.7468 x8

Calculated values
- DOS(E_F): 1.42 states/eV per atom
- ΔE_f: 0.03 eV per atom



Record 4
A relaxed structure of TaGaRe, computed with GGA-PBE.

abc: 4.5113 4.5113 2.7598
angles: 90.00 90.00 120.00
Space group P3m1 (No. 156)
Asymmetric unit:
Ta 0.0000 0.0000 0.0000 x1
Ga 0.3333 0.6667 0.4769 x1
Re 0.6667 0.3333 0.3537 x1

Calculated values
- DOS(E_F): 0.98 states/eV per atom
- ΔE_f: -0.06 eV per atom



- Which of these has the highest DOS(E_F)?
  Y6Er2Al